# PBEsol CaSiNi, optimized geometry
data_CaSiNi
_symmetry_space_group_name_H-M 'P -6 m 2'
_symmetry_Int_Tables_number 187
_symmetry_space_group_name_Hall 'P -6 2'
_cell_length_a 3.8925
_cell_length_b 3.8925
_cell_length_c 4.2780
_cell_angle_alpha 90.00
_cell_angle_beta 90.00
_cell_angle_gamma 120.00
loop_
_atom_site_label
_atom_site_type_symbol
_atom_site_fract_x
_atom_site_fract_y
_atom_site_fract_z
Ca1 Ca 0.0000 0.0000 0.0000
Si1 Si 0.6667 0.3333 0.5000
Ni1 Ni 0.3333 0.6667 0.5000
# Uncorrected formation energy, meV per atom: -504
# Crystal system: hexagonal
# Total energy, Ry per atom: -0.3810


# PBEsol CaSiNi, optimized geometry
data_CaSiNi
_symmetry_space_group_name_H-M 'I m m 2'
_symmetry_Int_Tables_number 44
_cell_length_a 3.027
_cell_length_b 3.166
_cell_length_c 10.436
_cell_angle_alpha 90.00
_cell_angle_beta 90.00
_cell_angle_gamma 90.00
loop_
_symmetry_equiv_pos_as_xyz
'x,y,z'
'-x,-y,z'
'-x,y,z'
'x,-y,z'
'x+1/2,y+1/2,z+1/2'
'-x+1/2,-y+1/2,z+1/2'
'-x+1/2,y+1/2,z+1/2'
'x+1/2,-y+1/2,z+1/2'
loop_
_atom_site_label
_atom_site_type_symbol
_atom_site_fract_x
_atom_site_fract_y
_atom_site_fract_z
Ca1 Ca 0.000 0.000 0.000
Si1 Si 0.000 0.000 0.292
Ni1 Ni 0.000 0.000 0.709
# Uncorrected formation energy, meV per atom: -362
# Crystal system: orthorhombic
# Total energy, Ry per atom: -0.3705


# PBEsol SrCaNi2, optimized geometry
data_SrCaNi2
_symmetry_space_group_name_H-M 'A m m 2'
_symmetry_Int_Tables_number 38
_cell_length_a 4.070
_cell_length_b 4.257
_cell_length_c 10.559
_cell_angle_alpha 90.00
_cell_angle_beta 90.00
_cell_angle_gamma 90.00
loop_
_symmetry_equiv_pos_as_xyz
'x,y,z'
'-x,-y,z'
'-x,y,z'
'x,-y,z'
'x,y+1/2,z+1/2'
'-x,-y+1/2,z+1/2'
'-x,y+1/2,z+1/2'
'x,-y+1/2,z+1/2'
loop_
_atom_site_label
_atom_site_type_symbol
_atom_site_fract_x
_atom_site_fract_y
_atom_site_fract_z
Sr1 Sr 0.000 0.000 0.000
Ca1 Ca 0.500 0.000 0.283
Ni1 Ni 0.000 0.000 0.699
Ni2 Ni 0.500 0.000 0.607
# Crystal system: orthorhombic
# Total energy, Ry per atom: -0.3015
# Formation enthalpy at 0 K, meV/atom: -30


# PBEsol SrCa2Ni, optimized geometry
data_SrCa2Ni
_symmetry_space_group_name_H-M 'F m -3 m'
_symmetry_Int_Tables_number 225
_symmetry_space_group_name_Hall '-F 4 2 3'
_cell_length_a 7.635
_cell_length_b 7.635
_cell_length_c 7.635
_cell_angle_alpha 90.00
_cell_angle_beta 90.00
_cell_angle_gamma 90.00
loop_
_atom_site_label
_atom_site_type_symbol
_atom_site_fract_x
_atom_site_fract_y
_atom_site_fract_z
Sr1 Sr 0.000 0.000 0.000
Ca1 Ca 0.250 0.250 0.250
Ni1 Ni 0.000 0.000 0.500
# Crystal system: cubic
# Total energy, Ry per atom: -0.1984
# Polymorph energy (0 for the lowest one), kJ/mol of formula units: 118.1
# Formation enthalpy at 0 K, meV/atom: 366